## ReTc2Pt (PBE)

Data for ReTc2Pt after structural relaxation.

Geometry as POSCAR:
```
ReTc2Pt
1.0
2.754 0.000 0.000
-1.377 2.385 0.000
0.000 0.000 27.226
Re Tc Pt
3 6 3
Direct
0.000 0.000 0.000
0.333 0.667 0.667
0.667 0.333 0.333
0.000 0.000 0.252
0.000 0.000 0.748
0.333 0.667 0.415
0.333 0.667 0.918
0.667 0.333 0.082
0.667 0.333 0.585
0.000 0.000 0.500
0.333 0.667 0.167
0.667 0.333 0.833
```

Calculated values
Total magnetic moment ... 0.0 Bohr magnetons per cell
Space-group type ... No. 166
Crystal system ... trigonal
Energy relative to the elements ... -0.05 eV/atom
Raw total energy ... -9.857 eV/atom